# Pa3BeSi3 | the Alexandria database | PBE | optimized geometry
# E_tot = -7.369 eV/atom
# volume = 273 Å³/cell
data_Pa3BeSi3
_space_group_name_H-M_alt 'P 1'
_space_group_IT_number 1
_space_group_name_Hall 'P 1'
_cell_length_a 3.826
_cell_length_b 4.174
_cell_length_c 17.118
_cell_angle_alpha 90.00
_cell_angle_beta 90.00
_cell_angle_gamma 90.00
loop_
_atom_site_label
_atom_site_fract_x
_atom_site_fract_y
_atom_site_fract_z
Pa1 0.000 0.000 0.000
Pa2 0.000 0.000 0.369
Pa3 0.000 0.500 0.683
Pa4 0.500 0.000 0.183
Pa5 0.500 0.500 0.500
Pa6 0.500 0.500 0.869
Be1 0.000 0.500 0.117
Be2 0.500 0.000 0.617
Si1 0.000 0.000 0.548
Si2 0.000 0.000 0.828
Si3 0.000 0.500 0.242
Si4 0.500 0.000 0.742
Si5 0.500 0.500 0.048
Si6 0.500 0.500 0.328

=====

# CdFe2Ge | the Alexandria database | PBE | optimized geometry
# E_tot = -5.181 eV/atom
# offset from the most stable computed form = 0 meV/atom
# volume = 216 Å³/cell
# DFT formation energy = 0.4335 eV per atom
data_CdFe2Ge
_space_group_name_H-M_alt 'P 1'
_space_group_IT_number 1
_space_group_name_Hall 'P 1'
_cell_length_a 5.999
_cell_length_b 5.999
_cell_length_c 5.999
_cell_angle_alpha 90.00
_cell_angle_beta 90.00
_cell_angle_gamma 90.00
loop_
_atom_site_label
_atom_site_fract_x
_atom_site_fract_y
_atom_site_fract_z
Cd1 0.000 0.000 0.000
Cd2 0.000 0.500 0.500
Cd3 0.500 0.000 0.500
Cd4 0.500 0.500 0.000
Fe1 0.250 0.250 0.250
Fe2 0.250 0.250 0.750
Fe3 0.250 0.750 0.250
Fe4 0.250 0.750 0.750
Fe5 0.750 0.250 0.250
Fe6 0.750 0.250 0.750
Fe7 0.750 0.750 0.250
Fe8 0.750 0.750 0.750
Ge1 0.000 0.000 0.500
Ge2 0.000 0.500 0.000
Ge3 0.500 0.000 0.000
Ge4 0.500 0.500 0.500

=====

# AsPb2Se | the Alexandria database | PBE | optimized geometry
# E_tot = -3.923 eV/atom
# offset from the most stable computed form = 171 meV/atom
# volume = 104 Å³/cell
data_AsPb2Se
_space_group_name_H-M_alt 'P 1'
_space_group_IT_number 1
_space_group_name_Hall 'P 1'
_cell_length_a 5.377
_cell_length_b 5.377
_cell_length_c 3.610
_cell_angle_alpha 90.00
_cell_angle_beta 90.00
_cell_angle_gamma 90.00
loop_
_atom_site_label
_atom_site_fract_x
_atom_site_fract_y
_atom_site_fract_z
As1 0.000 0.000 0.000
Pb1 0.000 0.500 0.500
Pb2 0.500 0.000 0.500
Se1 0.500 0.500 0.000

=====

# Sm3Cu5S12 | the Alexandria database | PBE | optimized geometry
# E_tot = -4.887 eV/atom
# volume = 1628 Å³/cell
data_Sm3Cu5S12
_space_group_name_H-M_alt 'P 1'
_space_group_IT_number 1
_space_group_name_Hall 'P 1'
_cell_length_a 12.835
_cell_length_b 12.835
_cell_length_c 12.835
_cell_angle_alpha 109.47
_cell_angle_beta 109.47
_cell_angle_gamma 109.47
loop_
_atom_site_label
_atom_site_fract_x
_atom_site_fract_y
_atom_site_fract_z
Sm1 0.125 0.250 0.375
Sm2 0.125 0.375 0.750
Sm3 0.250 0.375 0.125
Sm4 0.250 0.875 0.625
Sm5 0.375 0.125 0.250
Sm6 0.375 0.750 0.125
Sm7 0.625 0.250 0.875
Sm8 0.625 0.875 0.750
Sm9 0.750 0.125 0.375
Sm10 0.750 0.625 0.875
Sm11 0.875 0.625 0.250
Sm12 0.875 0.750 0.625
Cu1 0.000 0.000 0.000
Cu2 0.000 0.000 0.500
Cu3 0.000 0.500 0.000
Cu4 0.000 0.500 0.500
Cu5 0.125 0.750 0.875
Cu6 0.125 0.875 0.250
Cu7 0.250 0.125 0.875
Cu8 0.250 0.625 0.375
Cu9 0.375 0.250 0.625
Cu10 0.375 0.625 0.750
Cu11 0.500 0.000 0.000
Cu12 0.500 0.000 0.500
Cu13 0.500 0.500 0.000
Cu14 0.500 0.500 0.500
Cu15 0.625 0.375 0.250
Cu16 0.625 0.750 0.375
Cu17 0.750 0.375 0.625
Cu18 0.750 0.875 0.125
Cu19 0.875 0.125 0.750
Cu20 0.875 0.250 0.125
S1 0.028 0.203 0.120
S2 0.028 0.325 0.908
S3 0.083 0.703 0.675
S4 0.083 0.880 0.408
S5 0.092 0.620 0.417
S6 0.092 0.972 0.675
S7 0.120 0.028 0.203
S8 0.120 0.592 0.917
S9 0.175 0.203 0.583
S10 0.175 0.472 0.592
S11 0.203 0.120 0.028
S12 0.203 0.583 0.175
S13 0.297 0.325 0.917
S14 0.297 0.472 0.380
S15 0.325 0.908 0.028
S16 0.325 0.917 0.297
S17 0.380 0.297 0.472
S18 0.380 0.583 0.908
S19 0.408 0.083 0.880
S20 0.408 0.825 0.528
S21 0.417 0.092 0.620
S22 0.417 0.825 0.797
S23 0.472 0.380 0.297
S24 0.472 0.592 0.175
S25 0.528 0.408 0.825
S26 0.528 0.620 0.703
S27 0.583 0.175 0.203
S28 0.583 0.908 0.380
S29 0.592 0.175 0.472
S30 0.592 0.917 0.120
S31 0.620 0.417 0.092
S32 0.620 0.703 0.528
S33 0.675 0.083 0.703
S34 0.675 0.092 0.972
S35 0.703 0.528 0.620
S36 0.703 0.675 0.083
S37 0.797 0.417 0.825
S38 0.797 0.880 0.972
S39 0.825 0.528 0.408
S40 0.825 0.797 0.417
S41 0.880 0.408 0.083
S42 0.880 0.972 0.797
S43 0.908 0.028 0.325
S44 0.908 0.380 0.583
S45 0.917 0.120 0.592
S46 0.917 0.297 0.325
S47 0.972 0.675 0.092
S48 0.972 0.797 0.880

=====

# EuDyPb2 | the Alexandria database | PBE | optimized geometry
# E_tot = -6.043 eV/atom
# offset from the most stable computed form = 0 meV/atom
# volume = 121 Å³/cell
# DFT formation energy = -0.4695 eV per atom
data_EuDyPb2
_space_group_name_H-M_alt 'P 1'
_space_group_IT_number 1
_space_group_name_Hall 'P 1'
_cell_length_a 4.066
_cell_length_b 4.066
_cell_length_c 7.337
_cell_angle_alpha 90.00
_cell_angle_beta 90.00
_cell_angle_gamma 90.00
loop_
_atom_site_label
_atom_site_fract_x
_atom_site_fract_y
_atom_site_fract_z
Eu1 0.000 0.000 0.000
Dy1 0.000 0.000 0.500
Pb1 0.500 0.500 0.270
Pb2 0.500 0.500 0.730

=====

# Cd2Hg2AsO6 | the Alexandria database | PBE | optimized geometry
# E_tot = -4.153 eV/atom
# volume = 176 Å³/cell
data_Cd2Hg2AsO6
_space_group_name_H-M_alt 'P 1'
_space_group_IT_number 1
_space_group_name_Hall 'P 1'
_cell_length_a 5.768
_cell_length_b 5.768
_cell_length_c 6.148
_cell_angle_alpha 91.16
_cell_angle_beta 91.16
_cell_angle_gamma 120.40
loop_
_atom_site_label
_atom_site_fract_x
_atom_site_fract_y
_atom_site_fract_z
Cd1 0.161 0.839 0.000
Cd2 0.839 0.161 0.000
Hg1 0.346 0.654 0.500
Hg2 0.654 0.346 0.500
As1 0.500 0.500 0.000
O1 0.216 0.499 0.821
O2 0.240 0.240 0.165
O3 0.499 0.216 0.821
O4 0.501 0.784 0.179
O5 0.760 0.760 0.835
O6 0.784 0.501 0.179

=====

# Hg2HPd5 | the Alexandria database | PBE | optimized geometry
# E_tot = -3.773 eV/atom
# volume = 131 Å³/cell
data_Hg2HPd5
_space_group_name_H-M_alt 'P 1'
_space_group_IT_number 1
_space_group_name_Hall 'P 1'
_cell_length_a 5.642
_cell_length_b 5.642
_cell_length_c 4.116
_cell_angle_alpha 90.00
_cell_angle_beta 90.00
_cell_angle_gamma 90.00
loop_
_atom_site_label
_atom_site_fract_x
_atom_site_fract_y
_atom_site_fract_z
Hg1 0.000 0.500 0.000
Hg2 0.500 0.000 0.000
H1 0.000 0.000 0.500
Pd1 0.000 0.000 0.000
Pd2 0.254 0.254 0.500
Pd3 0.254 0.746 0.500
Pd4 0.746 0.254 0.500
Pd5 0.746 0.746 0.500

=====

# YHfTiN3 | the Alexandria database | PBE | optimized geometry
# E_tot = -9.635 eV/atom
# volume = 174 Å³/cell
data_YHfTiN3
_space_group_name_H-M_alt 'P 1'
_space_group_IT_number 1
_space_group_name_Hall 'P 1'
_cell_length_a 6.624
_cell_length_b 3.181
_cell_length_c 8.266
_cell_angle_alpha 90.00
_cell_angle_beta 92.93
_cell_angle_gamma 90.00
loop_
_atom_site_label
_atom_site_fract_x
_atom_site_fract_y
_atom_site_fract_z
Y1 0.140 0.250 0.188
Y2 0.860 0.750 0.812
Hf1 0.362 0.750 0.873
Hf2 0.638 0.250 0.127
Ti1 0.155 0.250 0.573
Ti2 0.845 0.750 0.427
N1 0.139 0.250 0.850
N2 0.152 0.750 0.427
N3 0.402 0.750 0.124
N4 0.598 0.250 0.876
N5 0.848 0.250 0.573
N6 0.861 0.750 0.150